[1]
Below is a relaxed Li2DyPuO6 crystal, with properties calculated at the GGA-PBE level.

Space-group type   No. 148
ΔE_f (raw)   -2.591 eV/atom
Density   6.69 g/cm3

Cell lengths 5.344, 5.344, 6.028 Å; angles 63.69, 63.69, 60.00 degrees
Each line ends with the local moment (μB).
Fractional coordinates of all 10 atoms:
Li1 0.615 0.615 0.154  0.00
Li2 0.017 0.017 0.949  0.00
O1 0.689 0.063 0.835  -0.06
O2 0.219 0.943 0.268  -0.06
O3 0.413 0.689 0.835  -0.06
O4 0.063 0.413 0.835  -0.06
O5 0.569 0.219 0.268  -0.06
O6 0.943 0.569 0.268  -0.06
Pu1 0.316 0.316 0.052  1.38
Dy1 0.816 0.816 0.552  -0.02

***

[2]
Below is a relaxed CeYPd2 crystal, with properties calculated at the GGA-PBE level.

Space-group type   No. 123
DOS(E_F)   7.3 states/eV per cell
Density   8.21 g/cm3
DFT formation energy   -0.7398 eV per atom

Cell lengths 3.460, 5.082, 5.082 Å; angles 90.00, 90.00, 90.00 degrees
Each line ends with the local moment (μB).
Fractional coordinates of all 4 atoms:
Pd1 0.000 0.000 0.500  -0.01
Pd2 0.000 0.500 0.000  -0.01
Y1 0.500 0.000 0.000  0.01
Ce1 0.500 0.500 0.500  0.71

***

[3]
Below is a relaxed Ta2InPt crystal, with properties calculated at the GGA-PBE level.

Space-group type   No. 99
DOS(E_F)   3.4 states/eV per cell
Density   15.33 g/cm3
DFT formation energy   -0.1955 eV per atom

Cell lengths 2.912, 2.912, 8.579 Å; angles 90.00, 90.00, 90.00 degrees
Fractional coordinates of all 4 atoms:
Pt1 0.500 0.500 0.758
Ta1 0.500 0.500 0.246
Ta2 0.000 0.000 0.984
In1 0.000 0.000 0.512